# 1
The following is a DFT calculation (GGA-PBE) of a relaxed BaHf2Sn crystal.

- N(E_F) (states/eV per cell) = 12.17
- crystal system = tetragonal
- DFT formation energy (kJ per mole of atoms) = 52.9

a b c (Å): 4.980 4.980 11.184
angles (deg): 77.14 77.14 90.00
Atoms (fractional coordinates):
Hf 0.495 0.125 0.250
Hf 0.255 0.625 0.250
Hf 0.375 0.505 0.750
Hf 0.875 0.745 0.750
Ba 0.000 0.000 0.000
Ba 0.750 0.250 0.500
Sn 0.500 0.500 0.000
Sn 0.250 0.750 0.500

---

# 2
The following is a DFT calculation (GGA-PBE) of a relaxed BaHf3Sn crystal.

- N(E_F) (states/eV per cell) = 9.68
- crystal system = cubic
- DFT formation energy (kJ per mole of atoms) = 187.0

a b c (Å): 5.283 5.283 5.283
angles (deg): 90.00 90.00 90.00
Atoms (fractional coordinates):
Hf 0.000 0.500 0.000
Hf 0.000 0.000 0.500
Hf 0.500 0.000 0.000
Ba 0.000 0.000 0.000
Sn 0.500 0.500 0.500

---

# 3
The following is a DFT calculation (GGA-PBE) of a relaxed Ba3HfSn crystal.

- N(E_F) (states/eV per cell) = 9.36
- crystal system = cubic
- DFT formation energy (kJ per mole of atoms) = 66.9

a b c (Å): 6.190 6.190 6.190
angles (deg): 90.00 90.00 90.00
Each line ends with the local moment (μB).
Atoms (fractional coordinates):
Hf 0.000 0.000 0.000  0.24
Ba 0.000 0.500 0.000  0.03
Ba 0.000 0.000 0.500  0.04
Ba 0.500 0.000 0.000  0.02
Sn 0.500 0.500 0.500  0.01

---

# 4
The following is a DFT calculation (GGA-PBE) of a relaxed BaHfSn2 crystal.

- N(E_F) (states/eV per cell) = 7.83
- crystal system = cubic
- DFT formation energy (kJ per mole of atoms) = -0.2

a b c (Å): 5.466 5.466 5.466
angles (deg): 60.00 60.00 60.00
Atoms (fractional coordinates):
Hf 0.500 0.500 0.500
Ba 0.000 0.000 0.000
Sn 0.250 0.250 0.250
Sn 0.750 0.750 0.750

---

# 5
The following is a DFT calculation (GGA-PBE) of a relaxed BaHfSn2 crystal.

- N(E_F) (states/eV per cell) = 1.71
- crystal system = trigonal
- DFT formation energy (kJ per mole of atoms) = -25.9

a b c (Å): 4.785 4.785 7.209
angles (deg): 70.62 70.62 60.00
Atoms (fractional coordinates):
Hf 0.000 0.000 0.000
Ba 0.500 0.500 0.500
Sn 0.279 0.279 0.164
Sn 0.721 0.721 0.836

---

# 6
The following is a DFT calculation (GGA-PBE) of a relaxed BaHfSn crystal.

- N(E_F) (states/eV per cell) = 7.66
- crystal system = tetragonal
- DFT formation energy (kJ per mole of atoms) = -29.2

a b c (Å): 4.680 4.680 9.153
angles (deg): 90.00 90.00 90.00
Atoms (fractional coordinates):
Ba 0.000 0.500 0.840
Ba 0.500 0.000 0.160
Sn 0.000 0.500 0.294
Sn 0.500 0.000 0.706
Hf 0.500 0.500 0.500
Hf 0.000 0.000 0.500

---

# 7
The following is a DFT calculation (GGA-PBE) of a relaxed BaHfSn2 crystal.

- N(E_F) (states/eV per cell) = 4.98
- crystal system = tetragonal
- DFT formation energy (kJ per mole of atoms) = 4.4

a b c (Å): 5.883 5.883 10.268
angles (deg): 73.36 73.36 90.00
Each line ends with the local moment (μB).
Atoms (fractional coordinates):
Hf 0.000 0.000 0.000  0.23
Hf 0.750 0.250 0.500  0.23
Ba 0.500 0.500 0.000  0.02
Ba 0.250 0.750 0.500  0.02
Sn 0.791 0.125 0.250  -0.01
Sn 0.959 0.625 0.250  -0.01
Sn 0.375 0.209 0.750  0.00
Sn 0.875 0.041 0.750  0.00

---

# 8
The following is a DFT calculation (GGA-PBE) of a relaxed BaHfSn3 crystal.

- N(E_F) (states/eV per cell) = 3.29
- crystal system = cubic
- DFT formation energy (kJ per mole of atoms) = 143.6

a b c (Å): 5.879 5.879 5.879
angles (deg): 90.00 90.00 90.00
Atoms (fractional coordinates):
Hf 0.500 0.500 0.500
Ba 0.000 0.000 0.000
Sn 0.000 0.500 0.000
Sn 0.000 0.000 0.500
Sn 0.500 0.000 0.000

---

# 9
The following is a DFT calculation (GGA-PBE) of a relaxed Ba2HfSn crystal.

- N(E_F) (states/eV per cell) = 8.72
- crystal system = tetragonal
- DFT formation energy (kJ per mole of atoms) = 45.9

a b c (Å): 9.526 9.526 7.459
angles (deg): 50.32 50.32 90.00
Atoms (fractional coordinates):
Hf 0.000 0.000 0.000
Hf 0.750 0.250 0.500
Ba 0.612 0.125 0.250
Ba 0.138 0.625 0.250
Ba 0.375 0.388 0.750
Ba 0.875 0.862 0.750
Sn 0.500 0.500 0.000
Sn 0.250 0.750 0.500

---

# 10
The following is a DFT calculation (GGA-PBE) of a relaxed BaHf2TiSn crystal.

- N(E_F) (states/eV per cell) = 9.99
- crystal system = tetragonal
- DFT formation energy (kJ per mole of atoms) = 119.7

a b c (Å): 5.368 6.221 5.368
angles (deg): 90.00 90.00 90.00
Each line ends with the local moment (μB).
Atoms (fractional coordinates):
Ti 0.500 0.500 0.500  1.83
Hf 0.000 0.000 0.500  0.18
Hf 0.500 0.000 0.000  0.19
Ba 0.000 0.500 0.000  0.10
Sn 0.000 0.000 0.000  0.02

---

# 11
The following is a DFT calculation (GGA-PBE) of a relaxed Ba2HfZrSn crystal.

- N(E_F) (states/eV per cell) = 10.48
- crystal system = tetragonal
- DFT formation energy (kJ per mole of atoms) = 107.8

a b c (Å): 6.044 5.534 6.044
angles (deg): 90.00 90.00 90.00
Atoms (fractional coordinates):
Hf 0.000 0.000 0.000
Ba 0.000 0.000 0.500
Ba 0.500 0.000 0.000
Zr 0.500 0.500 0.500
Sn 0.000 0.500 0.000

---

# 12
The following is a DFT calculation (GGA-PBE) of a relaxed BaSrHf3 crystal.

- N(E_F) (states/eV per cell) = 8.64
- crystal system = cubic
- DFT formation energy (kJ per mole of atoms) = 159.0

a b c (Å): 5.451 5.451 5.451
angles (deg): 90.00 90.00 90.00
Atoms (fractional coordinates):
Sr 0.500 0.500 0.500
Hf 0.000 0.500 0.000
Hf 0.000 0.000 0.500
Hf 0.500 0.000 0.000
Ba 0.000 0.000 0.000